A relaxed structure of AlTlSbF2. Source: Alexandria, functional PBE.

Structure (POSCAR):
```
AlTlSbF2
1.0
4.395 0.000 0.000
0.000 4.395 0.000
0.000 0.000 5.932
Al Tl Sb F
1 1 1 2
direct
0.000 0.000 0.000 Al
0.500 0.500 0.000 Tl
0.000 0.000 0.500 Sb
0.000 0.500 0.500 F
0.500 0.000 0.500 F
```

formation energy from raw total energies: -95 kJ/mol of atoms
space-group type: P4/mmm (123)

A relaxed structure of Y3CdO. Source: Alexandria, functional PBE.

Structure (POSCAR):
```
Y3CdO
1.0
4.521 0.000 0.000
0.000 4.521 0.000
0.000 0.000 8.460
Y Cd O
3 1 1
direct
0.000 0.000 0.000 Y
0.000 0.500 0.661 Y
0.500 0.000 0.661 Y
0.000 0.000 0.373 Cd
0.500 0.500 0.630 O
```

formation energy from raw total energies: -58 kJ/mol of atoms
E above lowest polymorph: 0.731 eV per atom
space-group type: P4mm (99)

A relaxed structure of SmMg2GaPt2. Source: Alexandria, functional PBE.

Structure (POSCAR):
```
SmMg2GaPt2
1.0
-2.291 2.291 7.808
2.291 -2.291 7.808
2.291 2.291 -7.808
Sm Mg Ga Pt
1 2 1 2
direct
0.000 0.000 0.000 Sm
0.250 0.750 0.500 Mg
0.750 0.250 0.500 Mg
0.500 0.500 0.000 Ga
0.172 0.172 0.000 Pt
0.828 0.828 0.000 Pt
```

energy relative to the elements: -17.4 kJ per mole of atoms
space-group type: I4/mmm (139)

no.,E (eV/atom),ρ (g/cm³)
1,-3.7794,5.7
2,-5.6587,3.8
3,-4.0161,6.7